[1]
KAsW at its PBEsol-relaxed geometry, computed with meta-GGA SCAN.

Properties
- E_form: 172 kJ/mol of formula units
- VASP energy: -32.1419 eV per atom
- Calculated volume: 64 Å³ per cell

abc: 3.149 3.149 7.432
angles: 90.00 90.00 120.00
Sites, in units of the cell vectors:
K 0.000 0.000 0.000
As 0.667 0.333 0.362
W 0.333 0.667 0.592

=====

[2]
ZnSe3 at its PBEsol-relaxed geometry, computed with meta-GGA SCAN.

Properties
- Energy relative to the elements, uncorrected: 0.1 eV per formula unit
- VASP energy: -18.4250 eV per atom
- Calculated volume: 94 Å³ per cell

abc: 3.555 3.555 7.407
angles: 90.00 90.00 90.00
Sites, in units of the cell vectors:
Zn 0.000 0.000 0.000
Se 0.000 0.500 0.550
Se 0.500 0.000 0.450
Se 0.500 0.500 0.000

=====

[3]
Na3SrB5O10 at its PBEsol-relaxed geometry, computed with meta-GGA SCAN.

Properties
- Energy relative to the elements, uncorrected: -50.3 eV per formula unit
- VASP energy: -9.7187 eV per atom
- Calculated volume: 446 Å³ per cell

abc: 7.270 7.598 9.722
angles: 81.05 70.62 61.79
Sites, in units of the cell vectors:
Na 0.154 0.497 0.336
Na 0.208 0.278 0.950
Na 0.278 0.016 0.615
Na 0.722 0.984 0.385
Na 0.792 0.722 0.050
Na 0.846 0.503 0.664
Sr 0.213 0.947 0.277
Sr 0.787 0.053 0.723
B 0.138 0.678 0.582
B 0.161 0.751 0.048
B 0.301 0.626 0.789
B 0.386 0.337 0.637
B 0.491 0.774 0.878
B 0.509 0.226 0.122
B 0.614 0.663 0.363
B 0.699 0.374 0.211
B 0.839 0.249 0.952
B 0.862 0.322 0.418
O 0.013 0.798 0.499
O 0.023 0.779 0.183
O 0.158 0.651 0.941
O 0.168 0.751 0.691
O 0.233 0.470 0.564
O 0.320 0.823 0.012
O 0.336 0.194 0.145
O 0.406 0.413 0.750
O 0.470 0.687 0.771
O 0.495 0.856 0.396
O 0.505 0.144 0.604
O 0.530 0.313 0.229
O 0.594 0.587 0.250
O 0.664 0.806 0.855
O 0.680 0.177 0.988
O 0.767 0.530 0.436
O 0.832 0.249 0.309
O 0.842 0.349 0.059
O 0.977 0.221 0.817
O 0.987 0.202 0.501

=====

[4]
Sr3CaC at its PBEsol-relaxed geometry, computed with meta-GGA SCAN.

Properties
- E_form: 167 kJ/mol of formula units
- VASP energy: -16.9720 eV per atom
- Calculated volume: 175 Å³ per cell

abc: 5.598 5.598 5.598
angles: 90.00 90.00 90.00
Sites, in units of the cell vectors:
Sr 0.000 0.000 0.500
Sr 0.000 0.500 0.000
Sr 0.500 0.000 0.000
Ca 0.500 0.500 0.500
C 0.000 0.000 0.000

=====

[5]
Be2PIr at its PBEsol-relaxed geometry, computed with meta-GGA SCAN.

Properties
- E_form: -116 kJ/mol of formula units
- VASP energy: -22.8510 eV per atom
- Calculated volume: 44 Å³ per cell

abc: 4.151 4.151 4.056
angles: 97.30 97.30 38.98
Sites, in units of the cell vectors:
Be 0.000 0.000 0.000
Be 0.746 0.746 0.209
P 0.512 0.512 0.469
Ir 0.250 0.250 0.727

=====

[6]
KSr2Cu at its PBEsol-relaxed geometry, computed with meta-GGA SCAN.

Properties
- E_form: 153 kJ/mol of formula units
- VASP energy: -16.6222 eV per atom
- Calculated volume: 150 Å³ per cell

abc: 5.588 5.588 4.819
angles: 90.00 90.00 90.00
Sites, in units of the cell vectors:
K 0.000 0.000 0.000
Sr 0.000 0.500 0.500
Sr 0.500 0.000 0.500
Cu 0.500 0.500 0.000

=====

[7]
Dy11S16 at its PBEsol-relaxed geometry, computed with meta-GGA SCAN.

Properties
- Energy relative to the elements, uncorrected: -62.3 eV per formula unit
- VASP energy: -27.4848 eV per atom
- Calculated volume: 1093 Å³ per cell

abc: 8.177 16.392 8.151
angles: 90.00 90.00 90.00
Sites, in units of the cell vectors:
Dy 0.000 0.000 0.135
Dy 0.004 0.750 0.377
Dy 0.123 0.623 0.763
Dy 0.133 0.121 0.759
Dy 0.244 0.439 0.479
Dy 0.248 0.318 0.999
Dy 0.252 0.818 0.001
Dy 0.256 0.939 0.521
Dy 0.367 0.621 0.241
Dy 0.377 0.123 0.237
Dy 0.496 0.250 0.623
Dy 0.500 0.500 0.865
Dy 0.504 0.750 0.623
Dy 0.623 0.877 0.237
Dy 0.633 0.379 0.241
Dy 0.744 0.061 0.521
Dy 0.748 0.182 0.001
Dy 0.752 0.682 0.999
Dy 0.756 0.561 0.479
Dy 0.867 0.879 0.759
Dy 0.877 0.377 0.763
Dy 0.996 0.250 0.377
S 0.065 0.089 0.437
S 0.074 0.160 0.080
S 0.076 0.668 0.078
S 0.079 0.592 0.437
S 0.172 0.284 0.679
S 0.173 0.961 0.838
S 0.181 0.786 0.679
S 0.182 0.462 0.803
S 0.318 0.962 0.197
S 0.319 0.286 0.321
S 0.327 0.461 0.162
S 0.328 0.784 0.321
S 0.421 0.092 0.563
S 0.424 0.168 0.922
S 0.426 0.660 0.920
S 0.435 0.589 0.563
S 0.565 0.411 0.563
S 0.574 0.340 0.920
S 0.576 0.832 0.922
S 0.579 0.908 0.563
S 0.672 0.216 0.321
S 0.673 0.539 0.162
S 0.681 0.714 0.321
S 0.682 0.038 0.197
S 0.818 0.538 0.803
S 0.819 0.214 0.679
S 0.827 0.039 0.838
S 0.828 0.716 0.679
S 0.921 0.408 0.437
S 0.924 0.332 0.078
S 0.926 0.840 0.080
S 0.935 0.911 0.437

=====

[8]
K2TaOs at its PBEsol-relaxed geometry, computed with meta-GGA SCAN.

Properties
- E_form: 354 kJ/mol of formula units
- VASP energy: -37.8630 eV per atom
- Calculated volume: 126 Å³ per cell

abc: 7.044 7.044 7.044
angles: 152.79 127.37 60.24
Sites, in units of the cell vectors:
K 0.000 0.000 0.000
K 0.702 0.202 0.500
Ta 0.313 0.813 0.500
Os 0.448 0.448 0.000

=====

[9]
RbBa3Al at its PBEsol-relaxed geometry, computed with meta-GGA SCAN.

Properties
- E_form: 48 kJ/mol of formula units
- VASP energy: -29.3295 eV per atom
- Calculated volume: 304 Å³ per cell

abc: 6.724 6.724 6.724
angles: 90.00 90.00 90.00
Sites, in units of the cell vectors:
Rb 0.000 0.000 0.000
Ba 0.000 0.500 0.500
Ba 0.500 0.000 0.500
Ba 0.500 0.500 0.000
Al 0.500 0.500 0.500

=====

[10]
Co2SiO4 at its PBEsol-relaxed geometry, computed with meta-GGA SCAN.

Properties
- Energy relative to the elements, uncorrected: -13.6 eV per formula unit
- VASP energy: -11.8738 eV per atom
- Calculated volume: 281 Å³ per cell

abc: 9.949 5.816 4.856
angles: 90.00 90.00 90.00
Sites, in units of the cell vectors:
Co 0.000 0.000 0.000
Co 0.000 0.500 0.000
Co 0.236 0.250 0.496
Co 0.264 0.750 0.996
Co 0.500 0.000 0.500
Co 0.500 0.500 0.500
Co 0.736 0.250 0.004
Co 0.764 0.750 0.504
Si 0.092 0.750 0.429
Si 0.408 0.250 0.929
Si 0.592 0.750 0.071
Si 0.908 0.250 0.571
O 0.060 0.250 0.712
O 0.090 0.750 0.765
O 0.165 0.525 0.284
O 0.165 0.975 0.284
O 0.335 0.025 0.784
O 0.335 0.475 0.784
O 0.410 0.250 0.265
O 0.440 0.750 0.212
O 0.560 0.250 0.788
O 0.590 0.750 0.735
O 0.665 0.525 0.216
O 0.665 0.975 0.216
O 0.835 0.025 0.716
O 0.835 0.475 0.716
O 0.910 0.250 0.235
O 0.940 0.750 0.288

=====

[11]
Li2Ti3CrO8 at its PBEsol-relaxed geometry, computed with meta-GGA SCAN.

Properties
- Energy relative to the elements, uncorrected: -41.5 eV per formula unit
- VASP energy: -11.6137 eV per atom
- Calculated volume: 279 Å³ per cell

abc: 5.832 5.832 9.486
angles: 90.00 90.00 120.00
Sites, in units of the cell vectors:
Li 0.000 0.000 0.000
Li 0.000 0.000 0.500
Li 0.333 0.667 0.100
Li 0.667 0.333 0.600
Ti 0.169 0.338 0.782
Ti 0.169 0.831 0.782
Ti 0.338 0.169 0.282
Ti 0.662 0.831 0.782
Ti 0.831 0.169 0.282
Ti 0.831 0.662 0.282
Cr 0.333 0.667 0.513
Cr 0.667 0.333 0.013
O 0.000 0.000 0.184
O 0.000 0.000 0.684
O 0.041 0.521 0.655
O 0.166 0.331 0.395
O 0.166 0.834 0.395
O 0.331 0.166 0.895
O 0.333 0.667 0.894
O 0.479 0.521 0.655
O 0.479 0.959 0.655
O 0.521 0.041 0.155
O 0.521 0.479 0.155
O 0.667 0.333 0.394
O 0.669 0.834 0.395
O 0.834 0.166 0.895
O 0.834 0.669 0.895
O 0.959 0.479 0.155

=====

[12]
NbCrO4 at its PBEsol-relaxed geometry, computed with meta-GGA SCAN.

Properties
- Energy relative to the elements, uncorrected: -16.1 eV per formula unit
- VASP energy: -15.4239 eV per atom
- Calculated volume: 150 Å³ per cell

abc: 6.471 6.471 6.583
angles: 106.92 106.92 34.73
Sites, in units of the cell vectors:
Nb 0.105 0.105 0.231
Nb 0.895 0.895 0.769
Cr 0.203 0.203 0.820
Cr 0.797 0.797 0.180
O 0.056 0.056 0.863
O 0.143 0.143 0.520
O 0.261 0.261 0.141
O 0.361 0.361 0.801
O 0.639 0.639 0.199
O 0.739 0.739 0.859
O 0.857 0.857 0.480
O 0.944 0.944 0.137